Entry 1:
Density functional theory data (PBE) for a geometry-optimized ZrIn4Ni structure.

Calculated values
Energy of formation (eV per atom): 0.447
Density of states at the Fermi level (states/eV per cell): 15.1

Lattice parameters (Å, degrees): 8.1761 8.1761 8.1761 90.00 90.00 90.00
Last column: nearest neighbours and their distance in Å.
Space group F-43m (No. 216)
One atom of each set of equivalent atoms:
Zr 0.0000 0.0000 0.0000 (multiplicity 4)  12 In 3.39, 4 Ni 3.54
In 0.1250 0.1250 0.6250 (multiplicity 16)  6 In 2.89
Ni 0.2500 0.2500 0.2500 (multiplicity 4)  12 In 3.39, 4 Zr 3.54

---

Entry 2:
Density functional theory data (PBE) for a geometry-optimized ZrIn2Ni structure.

Calculated values
Energy of formation (eV per atom): -0.003
Density of states at the Fermi level (states/eV per cell): 9.5

Lattice parameters (Å, degrees): 6.7769 6.7769 6.7769 90.00 90.00 90.00
Last column: nearest neighbours and their distance in Å.
Space group F-43m (No. 216)
One atom of each set of equivalent atoms:
Zr 0.0000 0.0000 0.0000 (multiplicity 4)  4 Ni 2.93, 4 In 2.93
In 0.0000 0.0000 0.5000 (multiplicity 4)  4 In 2.93, 4 Ni 2.93
In 0.2500 0.2500 0.2500 (multiplicity 4)  4 Zr 2.93, 4 In 2.93
Ni 0.2500 0.2500 0.7500 (multiplicity 4)  4 Zr 2.93, 4 In 2.93

---

Entry 3:
Density functional theory data (PBE) for a geometry-optimized Zr2InNi9 structure.

Calculated values
Distance to the lowest polymorph of the same formula (eV/atom): 0.042
Energy of formation (eV per atom): -0.278
Density of states at the Fermi level (states/eV per cell): 41.0

Lattice parameters (Å, degrees): 4.8466 4.8466 23.9128 90.00 90.00 120.00
Last column: nearest neighbours and their distance in Å.
Space group R-3m (No. 166, hexagonal axes)
One atom of each set of equivalent atoms:
Zr 0.0000 0.0000 0.1372 (multiplicity 6)  12 Ni 2.72-2.99
In 0.0000 0.0000 0.0000 (multiplicity 3)  6 Ni 2.80
Ni 0.0000 0.0000 0.3336 (multiplicity 6)  6 Ni 2.47
Ni 0.0000 0.0000 0.5000 (multiplicity 3)  6 Ni 2.41
Ni 0.0041 0.5020 0.9148 (multiplicity 18)  7 Ni 2.39-2.47

---

Entry 4:
Density functional theory data (PBE) for a geometry-optimized Zr2InNi9 structure.

Calculated values
Distance to the lowest polymorph of the same formula (eV/atom): 0.000
Energy of formation (eV per atom): -0.320
Density of states at the Fermi level (states/eV per cell): 10.4

Lattice parameters (Å, degrees): 3.7534 3.7534 11.2294 90.00 90.00 90.00
Last column: nearest neighbours and their distance in Å.
Space group P4/mmm (No. 123)
One atom of each set of equivalent atoms:
Zr 0.0000 0.0000 0.1686 (multiplicity 2)  12 Ni 2.63-2.67
In 0.0000 0.0000 0.5000 (multiplicity 1)  12 Ni 2.65-2.66
Ni 0.0000 0.5000 0.0000 (multiplicity 2)  8 Ni 2.65, 4 Zr 2.67
Ni 0.0000 0.5000 0.3327 (multiplicity 4)  2 Zr 2.63, 8 Ni 2.64-2.66, 2 In 2.66
Ni 0.5000 0.5000 0.1670 (multiplicity 2)  8 Ni 2.64-2.65, 4 Zr 2.65
Ni 0.5000 0.5000 0.5000 (multiplicity 1)  4 In 2.65, 8 Ni 2.66